(1)
The following is a DFT calculation (PBE) of ErMgGa2Ni5 after structural relaxation.

a b c (Å): 3.8650 3.8650 8.9488
angles (deg): 90.00 90.00 90.00
With the nearest neighbours (Å) after each atom.
Fractional coordinates of all 9 atoms:
Er1 0.0000 0.0000 0.0000  12 Ni 2.73
Mg1 0.0000 0.0000 0.5000  8 Ga 3.00, 8 Ni 3.20
Ga1 0.5000 0.5000 0.3620  4 Ni 2.34, 1 Ga 2.47
Ga2 0.5000 0.5000 0.6380  4 Ni 2.34, 1 Ga 2.47
Ni1 0.0000 0.5000 0.2147  2 Ga 2.34
Ni2 0.0000 0.5000 0.7853  2 Ga 2.34
Ni3 0.5000 0.0000 0.2147  2 Ga 2.34
Ni4 0.5000 0.0000 0.7853  2 Ga 2.34
Ni5 0.5000 0.5000 0.0000  8 Ni 2.73, 4 Er 2.73

space-group type = P4/mmm (123)
uncorrected energy = -4.828 eV/atom
energy relative to the elements = -260 meV per atom
magnetic moment = 0.00 μB/f.u.

(2)
The following is a DFT calculation (PBE) of ErMgGa2Pd2 after structural relaxation.

a b c (Å): 4.4239 4.4239 6.4713
angles (deg): 90.00 90.00 120.00
With the nearest neighbours (Å) after each atom.
Fractional coordinates of all 6 atoms:
Er1 0.0000 0.0000 0.0000  6 Ga 3.13, 6 Pd 3.15, 2 Mg 3.24
Mg1 0.0000 0.0000 0.5000  6 Pd 2.91, 6 Ga 2.93, 2 Er 3.24
Ga1 0.3333 0.6667 0.7217  4 Pd 2.55-2.83
Ga2 0.6667 0.3333 0.2783  4 Pd 2.55-2.83
Pd1 0.3333 0.6667 0.2842  4 Ga 2.55-2.83
Pd2 0.6667 0.3333 0.7158  4 Ga 2.55-2.83

space-group type = P-3m1 (164)
uncorrected energy = -4.494 eV/atom
energy relative to the elements = -727 meV per atom
magnetic moment = 0.00 μB/f.u.

(3)
The following is a DFT calculation (PBE) of Er2MgGa2Pd5 after structural relaxation.

a b c (Å): 9.7758 9.7758 3.7824
angles (deg): 90.00 90.00 90.00
With the nearest neighbours (Å) after each atom.
Fractional coordinates of all 20 atoms:
Er1 0.1745 0.3255 0.0000  3 Ga 2.78-2.96, 2 Pd 3.07
Er2 0.3255 0.8255 0.0000  3 Ga 2.78-2.96, 2 Pd 3.07
Er3 0.6745 0.1745 0.0000  3 Ga 2.78-2.96, 2 Pd 3.07
Er4 0.8255 0.6745 0.0000  3 Ga 2.78-2.96, 2 Pd 3.07
Mg1 0.0000 0.0000 0.0000  8 Pd 2.85
Mg2 0.5000 0.5000 0.0000  8 Pd 2.85
Ga1 0.1241 0.6241 0.0000  6 Pd 2.55-2.57, 1 Er 2.78
Ga2 0.3759 0.1241 0.0000  6 Pd 2.55-2.57, 1 Er 2.78
Ga3 0.6241 0.8759 0.0000  6 Pd 2.55-2.57, 1 Er 2.78
Ga4 0.8759 0.3759 0.0000  6 Pd 2.55-2.57, 1 Er 2.78
Pd1 0.0000 0.5000 0.5000  4 Ga 2.55
Pd2 0.0655 0.7923 0.5000  2 Ga 2.57, 2 Mg 2.85
Pd3 0.2077 0.0655 0.5000  2 Ga 2.57, 2 Mg 2.85
Pd4 0.2923 0.5655 0.5000  2 Ga 2.57, 2 Mg 2.85
Pd5 0.4345 0.2923 0.5000  2 Ga 2.57, 2 Mg 2.85
Pd6 0.5000 0.0000 0.5000  4 Ga 2.55
Pd7 0.5655 0.7077 0.5000  2 Ga 2.57, 2 Mg 2.85
Pd8 0.7077 0.4345 0.5000  2 Ga 2.57, 2 Mg 2.85
Pd9 0.7923 0.9345 0.5000  2 Ga 2.57, 2 Mg 2.85
Pd10 0.9345 0.2077 0.5000  2 Ga 2.57, 2 Mg 2.85

space-group type = P4/mbm (127)
uncorrected energy = -5.035 eV/atom
energy relative to the elements = -761 meV per atom
magnetic moment = 0.00 μB/f.u.

(4)
The following is a DFT calculation (PBE) of PmErMgGa after structural relaxation.

a b c (Å): 7.3645 7.3645 7.3645
angles (deg): 90.00 90.00 90.00
With the nearest neighbours (Å) after each atom.
Fractional coordinates of all 16 atoms:
Pm1 0.0000 0.0000 0.0000  4 Ga 3.19, 4 Mg 3.19
Pm2 0.0000 0.5000 0.5000  4 Ga 3.19, 4 Mg 3.19
Pm3 0.5000 0.0000 0.5000  4 Ga 3.19, 4 Mg 3.19
Pm4 0.5000 0.5000 0.0000  4 Ga 3.19, 4 Mg 3.19
Er1 0.0000 0.0000 0.5000  4 Mg 3.19, 4 Ga 3.19
Er2 0.0000 0.5000 0.0000  4 Mg 3.19, 4 Ga 3.19
Er3 0.5000 0.0000 0.0000  4 Mg 3.19, 4 Ga 3.19
Er4 0.5000 0.5000 0.5000  4 Mg 3.19, 4 Ga 3.19
Mg1 0.2500 0.2500 0.7500  4 Er 3.19, 4 Pm 3.19
Mg2 0.2500 0.7500 0.2500  4 Er 3.19, 4 Pm 3.19
Mg3 0.7500 0.2500 0.2500  4 Er 3.19, 4 Pm 3.19
Mg4 0.7500 0.7500 0.7500  4 Er 3.19, 4 Pm 3.19
Ga1 0.2500 0.2500 0.2500  4 Er 3.19, 4 Pm 3.19
Ga2 0.2500 0.7500 0.7500  4 Er 3.19, 4 Pm 3.19
Ga3 0.7500 0.2500 0.7500  4 Er 3.19, 4 Pm 3.19
Ga4 0.7500 0.7500 0.2500  4 Er 3.19, 4 Pm 3.19

space-group type = F-43m (216)
uncorrected energy = -3.819 eV/atom
energy relative to the elements = -335 meV per atom
magnetic moment = 0.00 μB/f.u.

(5)
The following is a DFT calculation (PBE) of ErMgGa2Pt2 after structural relaxation.

a b c (Å): 4.4052 4.4052 6.4972
angles (deg): 90.00 90.00 120.00
With the nearest neighbours (Å) after each atom.
Fractional coordinates of all 6 atoms:
Er1 0.0000 0.0000 0.0000  6 Pt 3.10, 6 Ga 3.15, 2 Mg 3.25
Mg1 0.0000 0.0000 0.5000  6 Ga 2.90, 6 Pt 2.94
Ga1 0.3333 0.6667 0.7134  3 Pt 2.55
Ga2 0.6667 0.3333 0.2866  3 Pt 2.55
Pt1 0.3333 0.6667 0.2721  3 Ga 2.55
Pt2 0.6667 0.3333 0.7279  3 Ga 2.55

space-group type = P-3m1 (164)
uncorrected energy = -4.961 eV/atom
energy relative to the elements = -912 meV per atom
magnetic moment = 0.00 μB/f.u.

(6)
The following is a DFT calculation (PBE) of ErMgGaPt after structural relaxation.

a b c (Å): 6.7508 6.7508 6.7508
angles (deg): 90.00 90.00 90.00
With the nearest neighbours (Å) after each atom.
Fractional coordinates of all 16 atoms:
Er1 0.0000 0.0000 0.0000  4 Pt 2.92, 4 Ga 2.92
Er2 0.0000 0.5000 0.5000  4 Pt 2.92, 4 Ga 2.92
Er3 0.5000 0.0000 0.5000  4 Pt 2.92, 4 Ga 2.92
Er4 0.5000 0.5000 0.0000  4 Pt 2.92, 4 Ga 2.92
Mg1 0.0000 0.0000 0.5000  4 Ga 2.92, 4 Pt 2.92
Mg2 0.0000 0.5000 0.0000  4 Ga 2.92, 4 Pt 2.92
Mg3 0.5000 0.0000 0.0000  4 Ga 2.92, 4 Pt 2.92
Mg4 0.5000 0.5000 0.5000  4 Ga 2.92, 4 Pt 2.92
Ga1 0.2500 0.2500 0.2500  4 Mg 2.92, 4 Er 2.92
Ga2 0.2500 0.7500 0.7500  4 Mg 2.92, 4 Er 2.92
Ga3 0.7500 0.2500 0.7500  4 Mg 2.92, 4 Er 2.92
Ga4 0.7500 0.7500 0.2500  4 Mg 2.92, 4 Er 2.92
Pt1 0.2500 0.2500 0.7500  4 Mg 2.92, 4 Er 2.92
Pt2 0.2500 0.7500 0.2500  4 Mg 2.92, 4 Er 2.92
Pt3 0.7500 0.2500 0.2500  4 Mg 2.92, 4 Er 2.92
Pt4 0.7500 0.7500 0.7500  4 Mg 2.92, 4 Er 2.92

space-group type = F-43m (216)
uncorrected energy = -4.582 eV/atom
energy relative to the elements = -776 meV per atom
magnetic moment = 0.00 μB/f.u.

(7)
The following is a DFT calculation (PBE) of ErMgGa2Pt4 after structural relaxation.

a b c (Å): 8.6860 8.6860 8.6860
angles (deg): 29.11 29.11 29.11
With the nearest neighbours (Å) after each atom.
Fractional coordinates of all 8 atoms:
Er1 0.0000 0.0000 0.0000  8 Pt 2.98-3.24
Mg1 0.5000 0.5000 0.5000  8 Pt 2.57-2.68
Ga1 0.2453 0.2453 0.2453  7 Pt 2.59-2.88
Ga2 0.7547 0.7547 0.7547  7 Pt 2.59-2.88
Pt1 0.1297 0.1297 0.1297  3 Mg 2.68, 4 Ga 2.73-2.88
Pt2 0.3970 0.3970 0.3970  1 Mg 2.57, 3 Ga 2.59
Pt3 0.6030 0.6030 0.6030  1 Mg 2.57, 3 Ga 2.59
Pt4 0.8703 0.8703 0.8703  3 Mg 2.68, 4 Ga 2.73-2.88

space-group type = R-3m (166)
uncorrected energy = -5.405 eV/atom
energy relative to the elements = -858 meV per atom
magnetic moment = 0.00 μB/f.u.

(8)
The following is a DFT calculation (PBE) of ErPuMgGa after structural relaxation.

a b c (Å): 7.2929 7.2929 7.2929
angles (deg): 90.00 90.00 90.00
With the nearest neighbours (Å) after each atom.
Fractional coordinates of all 16 atoms:
Er1 0.0000 0.0000 0.0000  4 Mg 3.16, 4 Ga 3.16
Er2 0.0000 0.5000 0.5000  4 Mg 3.16, 4 Ga 3.16
Er3 0.5000 0.0000 0.5000  4 Mg 3.16, 4 Ga 3.16
Er4 0.5000 0.5000 0.0000  4 Mg 3.16, 4 Ga 3.16
Pu1 0.0000 0.0000 0.5000  4 Mg 3.16, 4 Ga 3.16
Pu2 0.0000 0.5000 0.0000  4 Mg 3.16, 4 Ga 3.16
Pu3 0.5000 0.0000 0.0000  4 Mg 3.16, 4 Ga 3.16
Pu4 0.5000 0.5000 0.5000  4 Mg 3.16, 4 Ga 3.16
Mg1 0.2500 0.2500 0.7500  4 Er 3.16, 4 Pu 3.16
Mg2 0.2500 0.7500 0.2500  4 Er 3.16, 4 Pu 3.16
Mg3 0.7500 0.2500 0.2500  4 Er 3.16, 4 Pu 3.16
Mg4 0.7500 0.7500 0.7500  4 Er 3.16, 4 Pu 3.16
Ga1 0.2500 0.2500 0.2500  4 Er 3.16, 4 Pu 3.16
Ga2 0.2500 0.7500 0.7500  4 Er 3.16, 4 Pu 3.16
Ga3 0.7500 0.2500 0.7500  4 Er 3.16, 4 Pu 3.16
Ga4 0.7500 0.7500 0.2500  4 Er 3.16, 4 Pu 3.16

space-group type = F-43m (216)
uncorrected energy = -6.037 eV/atom
energy relative to the elements = -158 meV per atom
magnetic moment = 6.13 μB/f.u.

(9)
The following is a DFT calculation (PBE) of ErMgGa2Rh2 after structural relaxation.

a b c (Å): 4.3245 4.3245 6.5142
angles (deg): 90.00 90.00 120.00
With the nearest neighbours (Å) after each atom.
Fractional coordinates of all 6 atoms:
Er1 0.0000 0.0000 0.0000  6 Ga 3.04, 2 Mg 3.26, 6 Rh 3.30
Mg1 0.0000 0.0000 0.5000  6 Rh 2.73, 6 Ga 2.93
Ga1 0.3333 0.6667 0.7340  4 Rh 2.53-2.62
Ga2 0.6667 0.3333 0.2660  4 Rh 2.53-2.62
Rh1 0.3333 0.6667 0.3317  4 Ga 2.53-2.62, 3 Mg 2.73
Rh2 0.6667 0.3333 0.6683  4 Ga 2.53-2.62, 3 Mg 2.73

space-group type = P-3m1 (164)
uncorrected energy = -5.214 eV/atom
energy relative to the elements = -728 meV per atom
magnetic moment = 0.00 μB/f.u.

(10)
The following is a DFT calculation (PBE) of ErMgGaRu after structural relaxation.

a b c (Å): 6.6716 6.6716 6.6716
angles (deg): 90.00 90.00 90.00
With the nearest neighbours (Å) after each atom.
Fractional coordinates of all 16 atoms:
Er1 0.0000 0.0000 0.0000  4 Ru 2.89, 4 Ga 2.89
Er2 0.0000 0.5000 0.5000  4 Ru 2.89, 4 Ga 2.89
Er3 0.5000 0.0000 0.5000  4 Ru 2.89, 4 Ga 2.89
Er4 0.5000 0.5000 0.0000  4 Ru 2.89, 4 Ga 2.89
Mg1 0.0000 0.0000 0.5000  4 Ru 2.89, 4 Ga 2.89
Mg2 0.0000 0.5000 0.0000  4 Ru 2.89, 4 Ga 2.89
Mg3 0.5000 0.0000 0.0000  4 Ru 2.89, 4 Ga 2.89
Mg4 0.5000 0.5000 0.5000  4 Ru 2.89, 4 Ga 2.89
Ga1 0.2500 0.2500 0.2500  4 Mg 2.89, 4 Er 2.89
Ga2 0.2500 0.7500 0.7500  4 Mg 2.89, 4 Er 2.89
Ga3 0.7500 0.2500 0.7500  4 Mg 2.89, 4 Er 2.89
Ga4 0.7500 0.7500 0.2500  4 Mg 2.89, 4 Er 2.89
Ru1 0.2500 0.2500 0.7500  4 Mg 2.89, 4 Er 2.89
Ru2 0.2500 0.7500 0.2500  4 Mg 2.89, 4 Er 2.89
Ru3 0.7500 0.2500 0.2500  4 Mg 2.89, 4 Er 2.89
Ru4 0.7500 0.7500 0.7500  4 Mg 2.89, 4 Er 2.89

space-group type = F-43m (216)
uncorrected energy = -4.855 eV/atom
energy relative to the elements = -240 meV per atom
magnetic moment = 0.00 μB/f.u.

The calculation returns the following DOS(E_F) values, one per record and in order: 4.74; 4.08; 14.26; 9.11; 3.32; 7.50; 2.81; 25.76; 1.13; 9.44 states/eV per cell.